Below is an optimized crystal structure of Re2IrW, with properties calculated at the PBE level.

a b c (Å): 3.291 3.291 5.680
angles (deg): 90.00 90.00 90.00
Atoms (fractional coordinates):
Ir1 0.500 0.500 0.750
Re1 0.000 0.000 0.997
Re2 0.000 0.000 0.503
W1 0.500 0.500 0.250

Its space group is P4/mmm. The calculated formation energy comes out at 247 meV/atom. Its total energy is -45.72 eV per cell. The relative energy among the computed polymorphs comes out at 344 meV/atom.

Below is an optimized crystal structure of AsPt4Se, with properties calculated at the PBE level.

a b c (Å): 5.339 5.339 5.339
angles (deg): 60.00 60.00 60.00
Atoms (fractional coordinates):
As1 0.000 0.000 0.000
Se1 0.750 0.750 0.750
Pt1 0.876 0.375 0.375
Pt2 0.375 0.375 0.375
Pt3 0.375 0.876 0.375
Pt4 0.375 0.375 0.876

Its space group is F-43m. Its total energy is -29.94 eV per cell. The calculation puts the raw formation energy at 393 meV per atom.

Below is an optimized crystal structure of CsVGaI2, with properties calculated at the PBE level.

a b c (Å): 5.882 5.161 5.882
angles (deg): 90.00 90.00 90.00
Site moments in Bohr magnetons follow the coordinates.
Atoms (fractional coordinates):
V1 0.000 0.000 0.000  2.45
Cs1 0.500 0.500 0.500  0.00
Ga1 0.000 0.500 0.000  0.06
I1 0.000 0.000 0.500  0.01
I2 0.500 0.000 0.000  0.03

Its space group is P4/mmm. Its total energy is -17.58 eV per cell. The calculation puts the raw formation energy at -296 meV per atom.

Below is an optimized crystal structure of RePb3, with properties calculated at the PBE level.

a b c (Å): 6.751 6.751 5.186
angles (deg): 90.00 90.00 120.00
Site moments in Bohr magnetons follow the coordinates.
Atoms (fractional coordinates):
Re1 0.333 0.667 0.250  1.53
Re2 0.667 0.333 0.750  1.53
Pb1 0.178 0.822 0.750  -0.02
Pb2 0.178 0.355 0.750  -0.02
Pb3 0.822 0.178 0.250  -0.02
Pb4 0.355 0.178 0.250  -0.02
Pb5 0.822 0.645 0.250  -0.02
Pb6 0.645 0.822 0.750  -0.02

Its space group is P6_3/mmc. The calculated formation energy comes out at 998 meV/atom. Its total energy is -39.16 eV per cell. The relative energy among the computed polymorphs comes out at 580 meV/atom.

Below is an optimized crystal structure of Cu2Te2Se, with properties calculated at the PBE level.

a b c (Å): 4.175 7.854 8.401
angles (deg): 72.41 74.06 75.69
Atoms (fractional coordinates):
Cu1 0.911 0.663 0.524
Cu2 0.089 0.337 0.476
Cu3 0.598 0.754 0.098
Cu4 0.402 0.246 0.902
Te1 0.341 0.581 0.721
Te2 0.659 0.419 0.279
Te3 0.767 0.874 0.772
Te4 0.233 0.126 0.228
Se1 0.000 0.177 0.768
Se2 0.000 0.823 0.232

Its space group is P-1. Its total energy is -35.92 eV per cell. The calculation puts the raw formation energy at 0 meV per atom.

Below is an optimized crystal structure of CeHg3Se2Cl6, with properties calculated at the PBE level.

a b c (Å): 6.861 7.714 8.895
angles (deg): 115.70 115.39 90.00
Atoms (fractional coordinates):
Cl1 0.255 0.090 0.181
Cl2 0.255 0.131 0.771
Cl3 0.745 0.910 0.819
Cl4 0.255 0.640 0.771
Cl5 0.745 0.360 0.229
Cl6 0.745 0.869 0.229
Hg1 0.500 0.500 0.500
Hg2 0.000 0.500 0.000
Hg3 0.500 0.000 0.500
Se1 0.785 0.318 0.636
Se2 0.215 0.682 0.364
Ce1 0.500 0.000 0.000

Its space group is C2/m. Its total energy is -37.31 eV per cell. The calculation puts the raw formation energy at -1035 meV per atom.

Below is an optimized crystal structure of CePmCu2Si2, with properties calculated at the PBE level.

a b c (Å): 4.165 4.165 7.952
angles (deg): 90.00 90.00 120.00
Site moments in Bohr magnetons follow the coordinates.
Atoms (fractional coordinates):
Cu1 0.667 0.333 0.253  0.01
Cu2 0.333 0.667 0.747  0.01
Ce1 0.000 0.000 0.500  0.57
Si1 0.333 0.667 0.254  -0.01
Si2 0.667 0.333 0.746  -0.01
Pm1 0.000 0.000 0.000  0.06

Its space group is P-3m1. Its total energy is -33.32 eV per cell. The calculation puts the raw formation energy at -599 meV per atom.

Below is an optimized crystal structure of CaMg2AsPt, with properties calculated at the PBE level.

a b c (Å): 5.530 5.117 5.530
angles (deg): 90.00 90.00 90.00
Atoms (fractional coordinates):
As1 0.000 0.500 0.000
Ca1 0.000 0.000 0.000
Mg1 0.500 0.000 0.000
Mg2 0.000 0.000 0.500
Pt1 0.500 0.500 0.500

Its space group is P4/mmm. The calculated formation energy comes out at 1166 meV/atom. Its total energy is -10.05 eV per cell.

Below is an optimized crystal structure of Y2MnZn12Ni3, with properties calculated at the PBE level.

a b c (Å): 7.443 7.443 7.443
angles (deg): 71.02 71.02 71.02
Site moments in Bohr magnetons follow the coordinates.
Atoms (fractional coordinates):
Zn1 0.295 0.846 0.295  -0.01
Zn2 0.368 0.857 0.857  0.00
Zn3 0.295 0.295 0.846  -0.01
Zn4 0.632 0.143 0.143  0.00
Zn5 0.857 0.857 0.368  0.00
Zn6 0.857 0.368 0.857  0.00
Zn7 0.143 0.632 0.143  0.00
Zn8 0.143 0.143 0.632  0.00
Zn9 0.705 0.705 0.154  -0.01
Zn10 0.846 0.295 0.295  -0.01
Zn11 0.705 0.154 0.705  -0.01
Zn12 0.154 0.705 0.705  -0.01
Y1 0.400 0.400 0.400  0.05
Y2 0.600 0.600 0.600  0.05
Ni1 0.000 0.000 0.500  0.05
Ni2 0.000 0.500 0.000  0.05
Ni3 0.500 0.000 0.000  0.05
Mn1 0.000 0.000 0.000  3.74

Its space group is R-3m. The calculated formation energy comes out at 248 meV/atom. Its total energy is -50.27 eV per cell.

Below is an optimized crystal structure of CoSbPt, with properties calculated at the PBE level.

a b c (Å): 3.242 3.242 5.641
angles (deg): 90.00 90.00 120.00
Site moments in Bohr magnetons follow the coordinates.
Atoms (fractional coordinates):
Pt1 0.333 0.667 0.318  0.05
Co1 0.000 0.000 0.000  1.20
Sb1 0.667 0.333 0.682  -0.02

Its space group is P3m1. Its total energy is -16.61 eV per cell. The calculation puts the raw formation energy at 219 meV per atom.

Below is an optimized crystal structure of RbBa2TlO, with properties calculated at the PBE level.

a b c (Å): 5.457 5.457 5.984
angles (deg): 90.00 90.00 90.00
Atoms (fractional coordinates):
O1 0.000 0.000 0.000
Tl1 0.500 0.500 0.500
Ba1 0.500 0.000 0.000
Ba2 0.000 0.500 0.000
Rb1 0.000 0.000 0.500

Its space group is P4/mmm. Its total energy is -17.01 eV per cell. The calculation puts the raw formation energy at -975 meV per atom.

Below is an optimized crystal structure of Zr4U3TaN8, with properties calculated at the PBE level.

a b c (Å): 6.587 6.652 6.587
angles (deg): 119.68 120.00 90.00
Site moments in Bohr magnetons follow the coordinates.
Atoms (fractional coordinates):
Zr1 0.000 0.000 0.000  0.01
Zr2 0.000 0.000 0.500  0.01
Zr3 0.500 0.000 0.500  0.01
Zr4 0.500 0.000 0.000  0.00
N1 0.754 0.763 0.508  -0.04
N2 0.245 0.750 0.490  -0.02
N3 0.245 0.750 0.005  -0.02
N4 0.246 0.237 0.492  -0.04
N5 0.755 0.250 0.510  -0.02
N6 0.760 0.750 0.005  -0.02
N7 0.240 0.250 0.995  -0.02
N8 0.755 0.250 0.995  -0.02
U1 0.500 0.500 0.500  0.96
U2 0.500 0.500 0.000  0.96
U3 0.000 0.500 0.500  0.96
Ta1 0.000 0.500 0.000  0.02

Its space group is R-3m. Its total energy is -170.37 eV per cell. The calculation puts the raw formation energy at -1491 meV per atom.

Below is an optimized crystal structure of LaYTm, with properties calculated at the PBE level.

a b c (Å): 5.566 5.566 8.804
angles (deg): 71.57 71.57 60.00
Atoms (fractional coordinates):
La1 0.710 0.710 0.871
La2 0.290 0.290 0.129
Tm1 0.855 0.855 0.434
Tm2 0.145 0.145 0.566
Y1 0.563 0.563 0.312
Y2 0.437 0.437 0.688

Its space group is R-3m. The calculated formation energy comes out at 320 meV/atom. Its total energy is -29.80 eV per cell. The relative energy among the computed polymorphs comes out at 285 meV/atom.

Below is an optimized crystal structure of Mo2SBr2, with properties calculated at the PBE level.

a b c (Å): 9.932 9.932 12.058
angles (deg): 90.00 90.00 140.55
Atoms (fractional coordinates):
Br1 0.394 0.112 0.436
Br2 0.972 0.631 0.250
Br3 0.394 0.112 0.064
Br4 0.028 0.369 0.750
Br5 0.631 0.972 0.250
Br6 0.369 0.028 0.750
Br7 0.606 0.888 0.564
Br8 0.606 0.888 0.936
Br9 0.112 0.394 0.064
Br10 0.888 0.606 0.564
Br11 0.888 0.606 0.936
Br12 0.112 0.394 0.436
Mo1 0.013 0.156 0.898
Mo2 0.987 0.844 0.102
Mo3 0.256 0.256 0.438
Mo4 0.744 0.744 0.938
Mo5 0.156 0.013 0.602
Mo6 0.256 0.256 0.062
Mo7 0.987 0.844 0.398
Mo8 0.844 0.987 0.102
Mo9 0.744 0.744 0.562
Mo10 0.013 0.156 0.602
Mo11 0.844 0.987 0.398
Mo12 0.156 0.013 0.898
S1 0.381 0.381 0.872
S2 0.088 0.088 0.250
S3 0.619 0.619 0.128
S4 0.381 0.381 0.628
S5 0.619 0.619 0.372
S6 0.912 0.912 0.750

Its space group is Cmcm. Its total energy is -195.44 eV per cell. The calculation puts the raw formation energy at -688 meV per atom.

Below is an optimized crystal structure of Pm4Y2Ho2Tm, with properties calculated at the PBE level.

a b c (Å): 5.074 8.023 8.021
angles (deg): 107.49 90.00 108.43
Atoms (fractional coordinates):
Y1 0.112 0.223 0.670
Y2 0.888 0.777 0.330
Ho1 0.334 0.667 0.000
Ho2 0.666 0.333 0.000
Tm1 0.000 0.000 0.000
Pm1 0.555 0.110 0.330
Pm2 0.222 0.444 0.331
Pm3 0.778 0.556 0.669
Pm4 0.445 0.890 0.670

Its space group is C2/m. The calculated formation energy comes out at 21 meV/atom. Its total energy is -45.37 eV per cell.

Below is an optimized crystal structure of KCd2Hg, with properties calculated at the PBE level.

a b c (Å): 3.920 3.920 7.914
angles (deg): 90.00 90.00 90.00
Atoms (fractional coordinates):
K1 0.500 0.500 0.743
Cd1 0.500 0.500 0.243
Cd2 0.000 0.000 0.056
Hg1 0.000 0.000 0.458

Its space group is P4mm. The calculated formation energy comes out at -78 meV/atom. Its total energy is -3.54 eV per cell.

Below is an optimized crystal structure of SmTh2MoC4, with properties calculated at the PBE level.

a b c (Å): 3.644 6.428 12.837
angles (deg): 90.00 90.00 106.46
Atoms (fractional coordinates):
Mo1 0.166 0.331 0.250
Mo2 0.834 0.669 0.750
C1 0.266 0.532 0.367
C2 0.734 0.468 0.633
C3 0.580 0.161 0.250
C4 0.420 0.839 0.750
C5 0.266 0.532 0.133
C6 0.734 0.468 0.867
C7 0.000 0.000 0.500
C8 0.000 0.000 0.000
Th1 0.632 0.264 0.460
Th2 0.368 0.736 0.540
Th3 0.368 0.736 0.960
Th4 0.632 0.264 0.040
Sm1 0.105 0.210 0.750
Sm2 0.895 0.790 0.250

Its space group is Cmcm. The calculated formation energy comes out at -32 meV/atom. Its total energy is -135.09 eV per cell.

Below is an optimized crystal structure of LuHfAg2, with properties calculated at the PBE level.

a b c (Å): 4.932 4.932 4.932
angles (deg): 60.00 60.00 60.00
Atoms (fractional coordinates):
Lu1 0.000 0.000 0.000
Hf1 0.500 0.500 0.500
Ag1 0.750 0.750 0.750
Ag2 0.250 0.250 0.250

Its space group is Fm-3m. The calculated formation energy comes out at -61 meV/atom. Its total energy is -20.42 eV per cell. The relative energy among the computed polymorphs comes out at 30 meV/atom.

Below is an optimized crystal structure of YNbRe2I, with properties calculated at the PBE level.

a b c (Å): 4.821 5.252 4.821
angles (deg): 90.00 90.00 90.00
Atoms (fractional coordinates):
I1 0.000 0.000 0.000
Y1 0.000 0.500 0.000
Nb1 0.500 0.500 0.500
Re1 0.500 0.000 0.000
Re2 0.000 0.000 0.500

Its space group is P4/mmm. Its total energy is -32.16 eV per cell. The calculation puts the raw formation energy at 2165 meV per atom.

Below is an optimized crystal structure of ZnReNi, with properties calculated at the PBE level.

a b c (Å): 7.498 2.654 8.875
angles (deg): 90.00 115.43 90.00
Atoms (fractional coordinates):
Re1 0.878 0.500 0.042
Re2 0.703 0.000 0.216
Re3 0.703 0.500 0.716
Re4 0.878 0.000 0.542
Zn1 0.510 0.500 0.373
Zn2 0.340 0.000 0.539
Zn3 0.510 0.000 0.873
Zn4 0.340 0.500 0.039
Ni1 0.189 0.000 0.205
Ni2 0.189 0.500 0.705
Ni3 0.031 0.500 0.372
Ni4 0.031 0.000 0.872

Its space group is Cm. The calculated formation energy comes out at 21 meV/atom. Its total energy is -77.76 eV per cell. The relative energy among the computed polymorphs comes out at 22 meV/atom.